First-principles (PBE) data for an optimized crystal structure of ZrGa2Hg2, as listed in Alexandria.

Lattice parameters (Å, degrees): 7.915 7.915 3.356 90.00 90.00 90.00
Atoms (fractional coordinates):
Zr 0.000 0.000 0.000
Zr 0.500 0.500 0.000
Ga 0.175 0.325 0.500
Ga 0.325 0.825 0.500
Ga 0.675 0.175 0.500
Ga 0.825 0.675 0.500
Hg 0.130 0.630 0.000
Hg 0.370 0.130 0.000
Hg 0.630 0.870 0.000
Hg 0.870 0.370 0.000

## Properties
Its space group is No. 127. The total DFT energy (no corrections) comes out at -2.970 eV/atom. The calculation puts the formation enthalpy at 0 K at 71 meV/atom. The magnetic moment is 0.0 μB per formula unit.